1.
A plane-wave DFT calculation with PBE was carried out for an optimized crystal structure of YCr2BiP.

```
5
Lattice="4.686 0.000 0.000 0.000 4.686 0.000 0.000 0.000 5.319" Properties=species:S:1:pos:R:3 pbc="T T T"
Y 0.000 0.000 0.000
Cr 0.000 2.343 2.659
Cr 2.343 0.000 2.659
Bi 2.343 2.343 0.000
P 0.000 0.000 2.659
```

Calculated values
Its magnetic moment is 8.41 Bohr magnetons per cell. The total energy is -7.106 eV per atom. Its symmetry is No. 123.

---

2.
A plane-wave DFT calculation with PBE was carried out for an optimized crystal structure of Pa2CrBi.

```
12
Lattice="3.977 0.000 0.000 -1.988 3.444 0.000 0.000 0.000 22.277" Properties=species:S:1:pos:R:3 pbc="T T T"
Pa 0.000 0.000 5.086
Pa 0.000 0.000 17.191
Pa 0.000 2.296 9.766
Pa 0.000 2.296 19.938
Pa 1.989 1.148 2.340
Pa 1.989 1.148 12.512
Cr 0.000 0.000 11.139
Cr 0.000 2.296 3.713
Cr 1.989 1.148 18.565
Bi 0.000 0.000 0.000
Bi 0.000 2.296 14.852
Bi 1.989 1.148 7.426
```

Calculated values
Its magnetic moment is 0.00 Bohr magnetons per cell. The total energy is -7.865 eV per atom. Its symmetry is No. 166.

---

| no. | DFT formation energy (eV per atom) |
| --- | --- |
| 1 | -0.1061 |
| 2 | 0.2590 |